Material: BeRe2Sb
Method: DFT, GGA-PBE
State: relaxed

CIF file:
```
data_BeRe2Sb
_chemical_formula_sum 'Be1 Re2 Sb1'
_space_group_name_H-M_alt 'P 1'
_space_group_IT_number 1
_space_group_name_Hall 'P 1'
_cell_length_a 3.232
_cell_length_b 4.263
_cell_length_c 4.482
_cell_angle_alpha 90.00
_cell_angle_beta 90.00
_cell_angle_gamma 90.00
loop_
_atom_site_label
_atom_site_fract_x
_atom_site_fract_y
_atom_site_fract_z
Be1 0.000 0.000 0.000
Re1 0.000 0.500 0.500
Re2 0.500 0.500 0.000
Sb1 0.500 0.000 0.500
```

Excess energy over the best structure of this formula in the dataset, meV/atom: 546
Space-group type: Pmmm, No. 47
VASP energy, eV/atom: -7.46
Formation energy from raw total energies, eV per atom: 0.721

Material: Tm3ScTe2
Method: DFT, GGA-PBE
State: relaxed

CIF file:
```
data_Tm3ScTe2
_chemical_formula_sum 'Tm6 Sc2 Te4'
_space_group_name_H-M_alt 'P 1'
_space_group_IT_number 1
_space_group_name_Hall 'P 1'
_cell_length_a 8.388
_cell_length_b 8.388
_cell_length_c 12.013
_cell_angle_alpha 116.77
_cell_angle_beta 116.77
_cell_angle_gamma 27.22
loop_
_atom_site_label
_atom_site_fract_x
_atom_site_fract_y
_atom_site_fract_z
Tm1 0.054 0.054 0.215
Tm2 0.249 0.249 0.650
Tm3 0.384 0.384 0.975
Tm4 0.616 0.616 0.025
Tm5 0.751 0.751 0.350
Tm6 0.946 0.946 0.785
Sc1 0.416 0.416 0.333
Sc2 0.584 0.584 0.667
Te1 0.162 0.162 0.857
Te2 0.390 0.390 0.553
Te3 0.610 0.610 0.447
Te4 0.838 0.838 0.143
```

Excess energy over the best structure of this formula in the dataset, meV/atom: 0
Space-group type: C2/m, No. 12
VASP energy, eV/atom: -5.03
Formation energy from raw total energies, eV per atom: -0.693

Material: BeCr3Cd
Method: DFT, GGA-PBE
State: relaxed

CIF file:
```
data_BeCr3Cd
_chemical_formula_sum 'Be1 Cr3 Cd1'
_space_group_name_H-M_alt 'P 1'
_space_group_IT_number 1
_space_group_name_Hall 'P 1'
_cell_length_a 4.061
_cell_length_b 4.061
_cell_length_c 4.061
_cell_angle_alpha 90.00
_cell_angle_beta 90.00
_cell_angle_gamma 90.00
loop_
_atom_site_label
_atom_site_fract_x
_atom_site_fract_y
_atom_site_fract_z
Be1 0.000 0.000 0.000
Cr1 0.000 0.000 0.500
Cr2 0.000 0.500 0.000
Cr3 0.500 0.000 0.000
Cd1 0.500 0.500 0.500
```

Excess energy over the best structure of this formula in the dataset, meV/atom: 0
Formation energy from the elements, eV/atom: 0.907
Space-group type: Pm-3m, No. 221
VASP energy, eV/atom: -5.80

Material: ZnCoIr2
Method: DFT, GGA-PBE
State: relaxed

CIF file:
```
data_ZnCoIr2
_chemical_formula_sum 'Zn1 Co1 Ir2'
_space_group_name_H-M_alt 'P 1'
_space_group_IT_number 1
_space_group_name_Hall 'P 1'
_cell_length_a 4.643
_cell_length_b 4.643
_cell_length_c 4.526
_cell_angle_alpha 99.60
_cell_angle_beta 99.60
_cell_angle_gamma 34.21
loop_
_atom_site_label
_atom_site_fract_x
_atom_site_fract_y
_atom_site_fract_z
Zn1 0.000 0.000 0.000
Co1 0.754 0.754 0.234
Ir1 0.244 0.244 0.726
Ir2 0.497 0.497 0.491
```

Formation energy from the elements, eV/atom: -0.013
Space-group type: Cm, No. 8
VASP energy, eV/atom: -6.54

Material: ScAsI2O
Method: DFT, GGA-PBE
State: relaxed

CIF file:
```
data_ScAsI2O
_chemical_formula_sum 'Sc1 As1 I2 O1'
_space_group_name_H-M_alt 'P 1'
_space_group_IT_number 1
_space_group_name_Hall 'P 1'
_cell_length_a 5.893
_cell_length_b 5.893
_cell_length_c 3.806
_cell_angle_alpha 90.00
_cell_angle_beta 90.00
_cell_angle_gamma 90.00
loop_
_atom_site_label
_atom_site_fract_x
_atom_site_fract_y
_atom_site_fract_z
Sc1 0.000 0.000 0.000
As1 0.500 0.500 0.500
I1 0.000 0.500 0.500
I2 0.500 0.000 0.500
O1 0.500 0.500 0.000
```

Excess energy over the best structure of this formula in the dataset, meV/atom: 584
Space-group type: P4/mmm, No. 123
VASP energy, eV/atom: -4.03
Formation energy from raw total energies, eV per atom: -0.223

Material: Ca2AgN
Method: DFT, GGA-PBE
State: relaxed

CIF file:
```
data_Ca2AgN
_chemical_formula_sum 'Ca2 Ag1 N1'
_space_group_name_H-M_alt 'P 1'
_space_group_IT_number 1
_space_group_name_Hall 'P 1'
_cell_length_a 3.151
_cell_length_b 3.151
_cell_length_c 7.395
_cell_angle_alpha 90.00
_cell_angle_beta 90.00
_cell_angle_gamma 90.00
loop_
_atom_site_label
_atom_site_fract_x
_atom_site_fract_y
_atom_site_fract_z
Ca1 0.000 0.000 0.176
Ca2 0.000 0.000 0.824
Ag1 0.500 0.500 0.500
N1 0.500 0.500 0.000
```

Space-group type: P4/mmm, No. 123
VASP energy, eV/atom: -4.15
Formation energy from raw total energies, eV per atom: -0.354

Material: Tb4PrTl7
Method: DFT, GGA-PBE
State: relaxed

CIF file:
```
data_Tb4PrTl7
_chemical_formula_sum 'Tb4 Pr1 Tl7'
_space_group_name_H-M_alt 'P 1'
_space_group_IT_number 1
_space_group_name_Hall 'P 1'
_cell_length_a 7.285
_cell_length_b 7.285
_cell_length_c 11.568
_cell_angle_alpha 120.88
_cell_angle_beta 120.88
_cell_angle_gamma 46.80
loop_
_atom_site_label
_atom_site_fract_x
_atom_site_fract_y
_atom_site_fract_z
Tb1 0.087 0.087 0.283
Tb2 0.222 0.222 0.831
Tb3 0.778 0.778 0.169
Tb4 0.913 0.913 0.717
Pr1 0.500 0.500 0.500
Tl1 0.000 0.000 0.500
Tl2 0.134 0.134 0.044
Tl3 0.284 0.284 0.605
Tl4 0.420 0.420 0.172
Tl5 0.580 0.580 0.828
Tl6 0.716 0.716 0.395
Tl7 0.866 0.866 0.956
```

Formation energy from the elements, eV/atom: -0.125
Space-group type: C2/m, No. 12
VASP energy, eV/atom: -3.45

Material: Sr2HgPt
Method: DFT, GGA-PBE
State: relaxed

CIF file:
```
data_Sr2HgPt
_chemical_formula_sum 'Sr2 Hg1 Pt1'
_space_group_name_H-M_alt 'P 1'
_space_group_IT_number 1
_space_group_name_Hall 'P 1'
_cell_length_a 5.274
_cell_length_b 5.274
_cell_length_c 5.274
_cell_angle_alpha 60.00
_cell_angle_beta 60.00
_cell_angle_gamma 60.00
loop_
_atom_site_label
_atom_site_fract_x
_atom_site_fract_y
_atom_site_fract_z
Sr1 0.000 0.000 0.000
Sr2 0.250 0.250 0.250
Hg1 0.750 0.750 0.750
Pt1 0.500 0.500 0.500
```

Formation energy from the elements, eV/atom: -0.307
Space-group type: F-43m, No. 216
VASP energy, eV/atom: -2.73

Material: InPtAu2
Method: DFT, GGA-PBE
State: relaxed

CIF file:
```
data_InPtAu2
_chemical_formula_sum 'In1 Pt1 Au2'
_space_group_name_H-M_alt 'P 1'
_space_group_IT_number 1
_space_group_name_Hall 'P 1'
_cell_length_a 3.584
_cell_length_b 3.584
_cell_length_c 5.730
_cell_angle_alpha 90.00
_cell_angle_beta 90.00
_cell_angle_gamma 90.00
loop_
_atom_site_label
_atom_site_fract_x
_atom_site_fract_y
_atom_site_fract_z
In1 0.000 0.000 0.000
Pt1 0.500 0.500 0.224
Au1 0.000 0.000 0.490
Au2 0.500 0.500 0.725
```

Formation energy from the elements, eV/atom: -0.154
Space-group type: P4mm, No. 99
VASP energy, eV/atom: -3.99

Material: Tl12Hg6Pb
Method: DFT, GGA-PBE
State: relaxed

CIF file:
```
data_Tl12Hg6Pb
_chemical_formula_sum 'Tl12 Hg6 Pb1'
_space_group_name_H-M_alt 'P 1'
_space_group_IT_number 1
_space_group_name_Hall 'P 1'
_cell_length_a 8.532
_cell_length_b 8.532
_cell_length_c 8.532
_cell_angle_alpha 100.54
_cell_angle_beta 100.54
_cell_angle_gamma 100.54
loop_
_atom_site_label
_atom_site_fract_x
_atom_site_fract_y
_atom_site_fract_z
Tl1 0.151 0.156 0.418
Tl2 0.156 0.418 0.151
Tl3 0.167 0.586 0.631
Tl4 0.369 0.833 0.414
Tl5 0.414 0.369 0.833
Tl6 0.418 0.151 0.156
Tl7 0.582 0.849 0.844
Tl8 0.586 0.631 0.167
Tl9 0.631 0.167 0.586
Tl10 0.833 0.414 0.369
Tl11 0.844 0.582 0.849
Tl12 0.849 0.844 0.582
Hg1 0.012 0.250 0.757
Hg2 0.243 0.988 0.750
Hg3 0.250 0.757 0.012
Hg4 0.750 0.243 0.988
Hg5 0.757 0.012 0.250
Hg6 0.988 0.750 0.243
Pb1 0.500 0.500 0.500
```

Excess energy over the best structure of this formula in the dataset, meV/atom: 0
Formation energy from the elements, eV/atom: 0.008
Space-group type: R-3, No. 148
VASP energy, eV/atom: -1.78

Material: Nd4PtRh3
Method: DFT, GGA-PBE
State: relaxed

CIF file:
```
data_Nd4PtRh3
_chemical_formula_sum 'Nd4 Pt1 Rh3'
_space_group_name_H-M_alt 'P 1'
_space_group_IT_number 1
_space_group_name_Hall 'P 1'
_cell_length_a 3.965
_cell_length_b 4.288
_cell_length_c 11.037
_cell_angle_alpha 90.00
_cell_angle_beta 90.00
_cell_angle_gamma 90.00
loop_
_atom_site_label
_atom_site_fract_x
_atom_site_fract_y
_atom_site_fract_z
Nd1 0.000 0.000 0.000
Nd2 0.000 0.500 0.276
Nd3 0.500 0.000 0.493
Nd4 0.500 0.500 0.779
Pt1 0.000 0.000 0.720
Rh1 0.000 0.500 0.549
Rh2 0.500 0.000 0.222
Rh3 0.500 0.500 0.048
```

Formation energy from the elements, eV/atom: -0.805
Space-group type: Pmm2, No. 25
VASP energy, eV/atom: -6.70

Material: CaMnPtS2
Method: DFT, GGA-PBE
State: relaxed

CIF file:
```
data_CaMnPtS2
_chemical_formula_sum 'Ca1 Mn1 Pt1 S2'
_space_group_name_H-M_alt 'P 1'
_space_group_IT_number 1
_space_group_name_Hall 'P 1'
_cell_length_a 4.937
_cell_length_b 4.937
_cell_length_c 4.696
_cell_angle_alpha 90.00
_cell_angle_beta 90.00
_cell_angle_gamma 90.00
loop_
_atom_site_label
_atom_site_fract_x
_atom_site_fract_y
_atom_site_fract_z
Ca1 0.000 0.000 0.000
Mn1 0.500 0.500 0.000
Pt1 0.500 0.500 0.500
S1 0.000 0.500 0.500
S2 0.500 0.000 0.500
```

Space-group type: P4/mmm, No. 123
VASP energy, eV/atom: -5.24
Formation energy from raw total energies, eV per atom: -0.143

no.,volume (Å³/atom)
1,15.44
2,28.55
3,13.40
4,13.50
5,26.44
6,18.36
7,30.92
8,25.93
9,18.40
10,30.80
11,23.45
12,22.89